! LiNiO4, relaxed, DFT GGA+U; values from VASP
&SYSTEM
  ibrav = 0, nat = 12, ntyp = 3
/
ATOMIC_SPECIES
Ni 58.69 Ni.upf
O 16.00 O.upf
Li 6.94 Li.upf
ATOMIC_POSITIONS angstrom
Ni 0.3986 2.7059 -0.6221
O 3.9035 0.0953 1.2973
Ni 2.2872 1.2745 1.6035
Li 4.4226 -0.0634 -0.7623
O 3.2124 2.9732 -3.1232
O 0.4512 2.1035 1.4097
Li -1.7369 4.0438 1.7436
O -1.2178 3.8851 -0.3160
O 2.5231 0.8291 -1.3287
O -0.5266 1.0071 4.1046
O 2.2345 1.8769 -0.4284
O 0.1626 3.1513 2.3101
CELL_PARAMETERS angstrom
5.5037 -0.7086 -1.9140
-2.7025 4.5722 -2.0012
-0.1155 0.1168 4.8966
! Electronic total energy   -4.79 eV per atom
! Density   3.8 Mg/m³
! SG   C2/c